LiCdWN2: relaxed, GGA-PBE.

Computed properties:
energy relative to the elements, uncorrected	0.51	eV/atom
total magnetization	0.0	μB/f.u.

Unit cell a=3.922 b=3.922 c=5.687 alpha=90.00 beta=90.00 gamma=90.00
Atoms (fractional coordinates):
Li 0.000 0.000 0.000
Cd 0.500 0.500 0.000
W 0.000 0.000 0.500
N 0.000 0.500 0.500
N 0.500 0.000 0.500